[1]
VASP calculation (PBE) on crystalline CaYGa at its relaxed geometry.

- M_tot (μB per formula unit) = 0.0
- V (Å³ per cell) = 339
- energy (Ha/atom) = -0.1533

Geometry as POSCAR:
```
CaYGa
1.0
7.2733 0.0000 0.0000
0.0000 3.5929 0.0000
0.0000 0.0000 12.9723
Ca Ga Y
4 4 4
Direct
0.1309 0.7500 0.6063
0.3691 0.2500 0.1063
0.8691 0.2500 0.3937
0.6309 0.7500 0.8937
0.6275 0.7500 0.2437
0.8725 0.2500 0.7437
0.1275 0.7500 0.2563
0.3725 0.2500 0.7563
0.3840 0.2500 0.3810
0.8840 0.2500 0.1190
0.6160 0.7500 0.6190
0.1160 0.7500 0.8810
```

=====

[2]
VASP calculation (PBE) on crystalline CaYGa at its relaxed geometry.

- M_tot (μB per formula unit) = 0.0
- V (Å³ per cell) = 247
- energy (Ha/atom) = -0.1265

Geometry as POSCAR:
```
CaYGa
1.0
4.3697 -2.5228 0.0000
0.0000 5.0456 0.0000
0.0000 0.0000 11.2140
Ca Y Ga
2 2 2
Direct
0.6667 0.3333 0.7500
0.3333 0.6667 0.2500
0.0000 0.0000 0.5000
0.0000 0.0000 0.0000
0.0000 0.0000 0.2500
0.0000 0.0000 0.7500
```

=====

[3]
VASP calculation (PBE) on crystalline Ca2YGa2 at its relaxed geometry.

- M_tot (μB per formula unit) = 0.0
- V (Å³ per cell) = 272
- energy (Ha/atom) = -0.1344

Geometry as POSCAR:
```
Ca2YGa2
1.0
8.2724 0.0000 0.0000
0.0000 8.2724 0.0000
0.0000 0.0000 3.9678
Ca Ga Y
4 4 2
Direct
0.6679 0.8321 0.5000
0.1679 0.6679 0.5000
0.8321 0.3321 0.5000
0.3321 0.1679 0.5000
0.8713 0.6287 0.0000
0.3713 0.8713 0.0000
0.1287 0.3713 0.0000
0.6287 0.1287 0.0000
0.0000 0.0000 0.0000
0.5000 0.5000 0.0000
```

=====

[4]
VASP calculation (PBE) on crystalline Ca2YGa2 at its relaxed geometry.

- M_tot (μB per formula unit) = 0.4
- V (Å³ per cell) = 261
- energy (Ha/atom) = -0.1296

Geometry as POSCAR:
```
Ca2YGa2
1.0
-1.8292 -8.3823 -2.3804
1.8813 -2.7548 8.2551
-3.1492 0.4416 0.8650
Ca Ga Y
4 4 2
Direct
0.8741 0.6259 0.0000
0.6259 0.1259 0.0000
0.1259 0.3741 0.0000
0.3741 0.8741 0.0000
0.3259 0.1741 0.5000
0.1741 0.6741 0.5000
0.8259 0.3259 0.5000
0.6741 0.8259 0.5000
0.5000 0.5000 0.0000
0.0000 0.0000 0.0000
```

=====

[5]
VASP calculation (PBE) on crystalline CaYGa at its relaxed geometry.

- M_tot (μB per formula unit) = 0.0
- V (Å³ per cell) = 167
- energy (Ha/atom) = -0.1527

Geometry as POSCAR:
```
CaYGa
1.0
-2.9005 2.3567 0.5516
-3.3702 -3.7177 -1.8378
0.5181 -4.1183 7.3819
Ga Ca Y
2 2 2
Direct
0.5145 0.5252 0.7154
0.3456 0.0256 0.3776
0.0045 0.0253 0.6951
0.8556 0.5256 0.3979
0.7079 0.0255 0.1023
0.1522 0.5254 0.9907
```

=====

[6]
VASP calculation (PBE) on crystalline CaYGa at its relaxed geometry.

- M_tot (μB per formula unit) = 0.0
- V (Å³ per cell) = 323
- energy (Ha/atom) = -0.1563

Geometry as POSCAR:
```
CaYGa
1.0
6.9717 0.0000 0.0000
0.0000 5.1373 0.0000
0.0000 0.0000 9.0126
Y Ca Ga
4 4 4
Direct
0.8096 0.7500 0.5811
0.3096 0.7500 0.9189
0.1904 0.2500 0.4189
0.6904 0.2500 0.0811
0.0108 0.2500 0.7911
0.4892 0.7500 0.2911
0.9892 0.7500 0.2089
0.5108 0.2500 0.7089
0.2472 0.7500 0.5897
0.7472 0.7500 0.9103
0.7528 0.2500 0.4103
0.2528 0.2500 0.0897
```

=====

[7]
VASP calculation (PBE) on crystalline CaYGa3 at its relaxed geometry.

- M_tot (μB per formula unit) = 0.0
- V (Å³ per cell) = 142
- energy (Ha/atom) = -0.1132

Geometry as POSCAR:
```
CaYGa3
1.0
5.2161 0.0000 0.0000
0.0000 5.2161 0.0000
0.0000 0.0000 5.2161
Y Ga Ca
1 3 1
Direct
0.5000 0.5000 0.5000
0.0000 0.5000 0.0000
0.5000 0.0000 0.0000
0.0000 0.0000 0.5000
0.0000 0.0000 0.0000
```

=====

[8]
VASP calculation (PBE) on crystalline CaYGa at its relaxed geometry.

- M_tot (μB per formula unit) = 0.0
- V (Å³ per cell) = 161
- energy (Ha/atom) = -0.1542

Geometry as POSCAR:
```
CaYGa
1.0
-2.8343 3.6247 -2.3477
-4.4662 -1.2773 -2.2598
-3.3734 1.2300 5.9726
Ga Y Ca
2 2 2
Direct
0.2979 0.1193 0.0516
0.6314 0.4530 0.5109
0.9646 0.7861 0.2707
0.2980 0.1196 0.5219
0.6313 0.4528 0.0109
0.9647 0.7862 0.7735
```

=====

[9]
VASP calculation (PBE) on crystalline CaYGa at its relaxed geometry.

- M_tot (μB per formula unit) = 0.0
- V (Å³ per cell) = 182
- energy (Ha/atom) = -0.1551

Geometry as POSCAR:
```
CaYGa
1.0
4.1038 0.0000 0.0004
-0.0004 10.6124 -0.0517
-0.0003 0.8747 4.1688
Y Ga Ca
2 2 2
Direct
0.0812 0.8530 0.7882
0.5811 0.5622 0.9332
0.5813 0.7866 0.3212
0.0812 0.6285 0.4005
0.0811 0.3269 0.5509
0.5810 0.0883 0.1703
```

=====

[10]
VASP calculation (PBE) on crystalline CaYGa at its relaxed geometry.

- M_tot (μB per formula unit) = 0.0
- V (Å³ per cell) = 173
- energy (Ha/atom) = -0.1521

Geometry as POSCAR:
```
CaYGa
1.0
6.5565 0.0066 -0.0292
-0.6085 7.5369 -0.0073
1.1261 1.0634 3.4924
Ga Ca Y
2 2 2
Direct
0.4349 0.6599 0.1555
0.2787 0.0062 0.0602
0.6729 0.9720 0.3804
0.0410 0.6941 0.8350
0.1247 0.2682 0.5061
0.5891 0.3979 0.7092
```

=====

[11]
VASP calculation (PBE) on crystalline CaYGa at its relaxed geometry.

- M_tot (μB per formula unit) = 0.0
- V (Å³ per cell) = 167
- energy (Ha/atom) = -0.1537

Geometry as POSCAR:
```
CaYGa
1.0
6.9142 -0.0028 0.0044
4.1476 5.4383 -0.0007
-0.0089 2.2948 4.4277
Y Ga Ca
2 2 2
Direct
0.9919 0.0450 0.8577
0.3657 0.3348 0.7146
0.5131 0.4607 0.1521
0.8444 0.9193 0.4201
0.9079 0.5581 0.1020
0.4497 0.8217 0.4704
```

=====

[12]
VASP calculation (PBE) on crystalline CaY3Ga at its relaxed geometry.

- M_tot (μB per formula unit) = 0.0
- V (Å³ per cell) = 176
- energy (Ha/atom) = -0.1791

Geometry as POSCAR:
```
CaY3Ga
1.0
5.6057 0.0000 0.0000
0.0000 5.6057 0.0000
0.0000 0.0000 5.6057
Y Ca Ga
3 1 1
Direct
0.0000 0.0000 0.5000
0.0000 0.5000 0.0000
0.5000 0.0000 0.0000
0.5000 0.5000 0.5000
0.0000 0.0000 0.0000
```